[1]
# PBE-GGA LiEuNiRh, relaxed
# spin magnetization: 25.53 μB per cell
# total DFT energy (no corrections): -6.35 eV/atom
# Fermi-level density of states: 38.326 states/eV per cell
# energy relative to the elements: -0.019 eV/atom
data_LiEuNiRh
_space_group_name_H-M_alt 'F -4 3 m'
_space_group_IT_number 216
_space_group_name_Hall 'F -4 2 3'
_cell_length_a 6.440
_cell_length_b 6.440
_cell_length_c 6.440
_cell_angle_alpha 90.00
_cell_angle_beta 90.00
_cell_angle_gamma 90.00
loop_
_atom_site_label
_atom_site_type_symbol
_atom_site_fract_x
_atom_site_fract_y
_atom_site_fract_z
Li1 Li 0.000 0.000 0.000
Eu1 Eu 0.250 0.250 0.750
Ni1 Ni 0.000 0.000 0.500
Rh1 Rh 0.250 0.250 0.250

---

[2]
# PBE-GGA LiEuTmNi, relaxed
# spin magnetization: 28.42 μB per cell
# total DFT energy (no corrections): -5.64 eV/atom
# Fermi-level density of states: 18.181 states/eV per cell
# energy relative to the elements: -0.030 eV/atom
data_LiEuTmNi
_space_group_name_H-M_alt 'F -4 3 m'
_space_group_IT_number 216
_space_group_name_Hall 'F -4 2 3'
_cell_length_a 7.041
_cell_length_b 7.041
_cell_length_c 7.041
_cell_angle_alpha 90.00
_cell_angle_beta 90.00
_cell_angle_gamma 90.00
loop_
_atom_site_label
_atom_site_type_symbol
_atom_site_fract_x
_atom_site_fract_y
_atom_site_fract_z
Li1 Li 0.000 0.000 0.000
Eu1 Eu 0.250 0.250 0.750
Tm1 Tm 0.250 0.250 0.250
Ni1 Ni 0.000 0.000 0.500